Entry 1:
This record from Alexandria describes a PBEsol-optimized structure of BaInRe2. The functional is SCAN.

## Properties
For the density of states at the Fermi level, the calculation gives 7.33 states/eV per cell. Its energy of formation from the pure elements is 0.83 eV/atom. As for the raw total energy: -635.383 eV for the cell shown.

Structure (CIF):
```
data_BaInRe2
_cell_length_a 3.0031
_cell_length_b 3.0031
_cell_length_c 31.2549
_cell_angle_alpha 90.00
_cell_angle_beta 90.00
_cell_angle_gamma 120.00
_symmetry_space_group_name_H-M 'R 3 m'
_symmetry_Int_Tables_number 160
_symmetry_space_group_name_Hall 'R 3 -2"'
loop_
_atom_site_label
_atom_site_type_symbol
_atom_site_fract_x
_atom_site_fract_y
_atom_site_fract_z
Ba1 Ba 0.0000 0.0000 0.0000
In1 In 0.0000 0.0000 0.2332
Re1 Re 0.0000 0.0000 0.4905
Re2 Re 0.0000 0.0000 0.7619
```

Entry 2:
This record from Alexandria describes a PBEsol-optimized structure of BaIn2Rh. The functional is SCAN.

## Properties
For the density of states at the Fermi level, the calculation gives 8.05 states/eV per cell. Its energy of formation from the pure elements is -0.48 eV/atom. As for the raw total energy: -426.000 eV for the cell shown.

Structure (CIF):
```
data_BaIn2Rh
_cell_length_a 4.6471
_cell_length_b 4.6471
_cell_length_c 17.6554
_cell_angle_alpha 90.00
_cell_angle_beta 90.00
_cell_angle_gamma 120.00
_symmetry_space_group_name_H-M 'R 3 m'
_symmetry_Int_Tables_number 160
_symmetry_space_group_name_Hall 'R 3 -2"'
loop_
_atom_site_label
_atom_site_type_symbol
_atom_site_fract_x
_atom_site_fract_y
_atom_site_fract_z
Ba1 Ba 0.0000 0.0000 0.0000
In1 In 0.0000 0.0000 0.2024
In2 In 0.0000 0.0000 0.4631
Rh1 Rh 0.0000 0.0000 0.8196
```

Entry 3:
This record from Alexandria describes a PBEsol-optimized structure of BaIn2Rh. The functional is SCAN.

## Properties
For the density of states at the Fermi level, the calculation gives 12.99 states/eV per cell. Its energy of formation from the pure elements is -0.03 eV/atom. As for the raw total energy: -560.935 eV for the cell shown.

Structure (CIF):
```
data_BaIn2Rh
_cell_length_a 7.255
_cell_length_b 7.255
_cell_length_c 7.255
_cell_angle_alpha 90.00
_cell_angle_beta 90.00
_cell_angle_gamma 90.00
_symmetry_space_group_name_H-M 'F m -3 m'
_symmetry_Int_Tables_number 225
_symmetry_space_group_name_Hall '-F 4 2 3'
loop_
_atom_site_label
_atom_site_type_symbol
_atom_site_fract_x
_atom_site_fract_y
_atom_site_fract_z
Ba1 Ba 0.000 0.000 0.000
In1 In 0.250 0.250 0.250
Rh1 Rh 0.000 0.000 0.500
```

Entry 4:
This record from Alexandria describes a PBEsol-optimized structure of Ba2InRh. The functional is SCAN.

## Properties
For the density of states at the Fermi level, the calculation gives 21.36 states/eV per cell. Its energy of formation from the pure elements is -0.03 eV/atom. As for the raw total energy: -585.565 eV for the cell shown.

Structure (CIF):
```
data_Ba2InRh
_cell_length_a 7.554
_cell_length_b 7.554
_cell_length_c 7.554
_cell_angle_alpha 90.00
_cell_angle_beta 90.00
_cell_angle_gamma 90.00
_symmetry_space_group_name_H-M 'F -4 3 m'
_symmetry_Int_Tables_number 216
_symmetry_space_group_name_Hall 'F -4 2 3'
loop_
_atom_site_label
_atom_site_type_symbol
_atom_site_fract_x
_atom_site_fract_y
_atom_site_fract_z
Ba1 Ba 0.000 0.000 0.000
Ba2 Ba 0.250 0.250 0.250
In1 In 0.250 0.250 0.750
Rh1 Rh 0.000 0.000 0.500
```

Entry 5:
This record from Alexandria describes a PBEsol-optimized structure of BaIn2Rh. The functional is SCAN.

## Properties
For the density of states at the Fermi level, the calculation gives 7.19 states/eV per cell. Its energy of formation from the pure elements is -0.56 eV/atom. As for the raw total energy: -569.280 eV for the cell shown.

Structure (CIF):
```
data_BaIn2Rh
_cell_length_a 4.456
_cell_length_b 11.312
_cell_length_c 7.966
_cell_angle_alpha 90.00
_cell_angle_beta 90.00
_cell_angle_gamma 90.00
_symmetry_space_group_name_H-M 'C m c m'
_symmetry_Int_Tables_number 63
_symmetry_space_group_name_Hall '-C 2c 2'
loop_
_atom_site_label
_atom_site_type_symbol
_atom_site_fract_x
_atom_site_fract_y
_atom_site_fract_z
Ba1 Ba 0.000 0.053 0.250
In1 In 0.000 0.336 0.055
Rh1 Rh 0.000 0.216 0.750
```

Entry 6:
This record from Alexandria describes a PBEsol-optimized structure of Ba2InRh. The functional is SCAN.

## Properties
For the density of states at the Fermi level, the calculation gives 5.46 states/eV per cell. Its energy of formation from the pure elements is -0.06 eV/atom. As for the raw total energy: -293.027 eV for the cell shown.

Structure (CIF):
```
data_Ba2InRh
_cell_length_a 4.470
_cell_length_b 5.544
_cell_length_c 9.633
_cell_angle_alpha 90.00
_cell_angle_beta 90.00
_cell_angle_gamma 90.00
_symmetry_space_group_name_H-M 'I m m m'
_symmetry_Int_Tables_number 71
_symmetry_space_group_name_Hall '-I 2 2'
loop_
_atom_site_label
_atom_site_type_symbol
_atom_site_fract_x
_atom_site_fract_y
_atom_site_fract_z
Ba1 Ba 0.000 0.000 0.212
In1 In 0.000 0.500 0.000
Rh1 Rh 0.000 0.500 0.500
```

Entry 7:
This record from Alexandria describes a PBEsol-optimized structure of BaIn2Rh. The functional is SCAN.

## Properties
For the density of states at the Fermi level, the calculation gives 2.64 states/eV per cell. Its energy of formation from the pure elements is -0.34 eV/atom. As for the raw total energy: -141.465 eV for the cell shown.

Structure (CIF):
```
data_BaIn2Rh
_cell_length_a 3.410
_cell_length_b 3.410
_cell_length_c 8.155
_cell_angle_alpha 90.00
_cell_angle_beta 90.00
_cell_angle_gamma 90.00
_symmetry_space_group_name_H-M 'P 4/m m m'
_symmetry_Int_Tables_number 123
_symmetry_space_group_name_Hall '-P 4 2'
loop_
_atom_site_label
_atom_site_type_symbol
_atom_site_fract_x
_atom_site_fract_y
_atom_site_fract_z
Ba1 Ba 0.000 0.000 0.000
In1 In 0.500 0.500 0.321
Rh1 Rh 0.000 0.000 0.500
```

Entry 8:
This record from Alexandria describes a PBEsol-optimized structure of Ba2InRh. The functional is SCAN.

## Properties
For the density of states at the Fermi level, the calculation gives 3.67 states/eV per cell. Its energy of formation from the pure elements is -0.36 eV/atom. As for the raw total energy: -295.370 eV for the cell shown.

Structure (CIF):
```
data_Ba2InRh
_cell_length_a 4.665
_cell_length_b 4.749
_cell_length_c 12.226
_cell_angle_alpha 90.00
_cell_angle_beta 90.00
_cell_angle_gamma 90.00
_symmetry_space_group_name_H-M 'A m m 2'
_symmetry_Int_Tables_number 38
_symmetry_space_group_name_Hall 'A 2 -2'
loop_
_atom_site_label
_atom_site_type_symbol
_atom_site_fract_x
_atom_site_fract_y
_atom_site_fract_z
Ba1 Ba 0.000 0.000 0.000
Ba2 Ba 0.500 0.000 0.281
In1 In 0.000 0.000 0.699
Rh1 Rh 0.500 0.000 0.595
```